16
Lattice="13.655 0.000 0.000 0.000 13.655 0.000 0.000 0.000 3.687" Properties=species:S:1:pos:R:3 comment="PI GGA-PBE relaxed" formation_energy_uncorrected_ev_per_atom=0.13 magnetic_moment_mub_per_cell=0.00 relative_energy_mev_per_atom=87.0 vol_a3_per_atom=42.96 pbc="T T T"
P 9.958 9.557 0.000
P 9.557 3.696 0.000
P 3.131 2.729 1.844
P 2.729 10.524 1.844
P 4.098 9.958 0.000
P 10.925 3.131 1.844
P 10.524 10.925 1.844
P 3.696 4.098 0.000
I 6.123 3.608 0.000
I 10.047 6.123 0.000
I 3.220 12.951 1.844
I 3.608 7.531 0.000
I 10.435 0.704 1.844
I 0.704 3.220 1.844
I 7.531 10.047 0.000
I 12.951 10.435 1.844